Entry 1:
InP2Se | PBE | optimized geometry

Lattice parameters (Å, degrees): 6.114 6.114 4.643 112.22 112.22 34.17
Atoms (fractional coordinates):
P1 0.496 0.496 0.400
P2 0.004 0.004 0.100
In1 0.750 0.750 0.750
Se1 0.250 0.250 0.250

Values from the calculation:
Distance to the lowest polymorph of the same formula, meV/atom: 0
Energy, eV per atom: -4.24
Symmetry: C2/m, No. 12
Density, g/cm3: 4.74

Entry 2:
InP2Se | PBE | optimized geometry

Lattice parameters (Å, degrees): 8.485 8.485 8.485 158.73 152.39 35.12
Atoms (fractional coordinates):
P1 0.902 0.902 0.000
P2 0.813 0.313 0.500
Se1 0.586 0.586 0.000
In1 0.199 0.699 0.500

Values from the calculation:
Distance to the lowest polymorph of the same formula, meV/atom: 114
Energy, eV per atom: -4.12
Symmetry: Imm2, No. 44
Density, g/cm3: 4.14

Entry 3:
InP2Se | PBE | optimized geometry

Lattice parameters (Å, degrees): 3.168 3.168 11.016 90.00 90.00 118.74
Atoms (fractional coordinates):
P1 0.500 0.500 0.179
P2 0.000 0.000 0.045
In1 0.500 0.500 0.748
Se1 0.000 0.000 0.528

Values from the calculation:
Distance to the lowest polymorph of the same formula, meV/atom: 322
Energy, eV per atom: -3.91
Symmetry: Cmm2, No. 35
Density, g/cm3: 4.38

Entry 4:
InPSe3 | PBE | optimized geometry

Lattice parameters (Å, degrees): 4.916 4.916 4.916 90.00 90.00 90.00
Atoms (fractional coordinates):
P1 0.000 0.000 0.000
Se1 0.500 0.000 0.000
Se2 0.000 0.500 0.000
Se3 0.000 0.000 0.500
In1 0.500 0.500 0.500

Values from the calculation:
Energy, eV per atom: -3.54
Symmetry: Pm-3m, No. 221
Density, g/cm3: 5.35

Number 1: uncorrected formation energy 0.025 eV/atom. Number 2: uncorrected formation energy 0.139 eV/atom. Number 3: uncorrected formation energy 0.347 eV/atom. Number 4: uncorrected formation energy 0.183 eV/atom.